1.
A plane-wave DFT calculation with PBE-GGA was carried out for a relaxed Pr4Dy5Tm crystal.

abc: 8.1473 8.1473 8.1473
angles: 97.80 97.80 136.78
With the nearest neighbours (Å) after each atom.
Fractional positions:
Pr: 0.0000 0.3227 0.3227  2 Dy 3.34, 1 Tm 3.72
Pr: 0.0000 0.6773 0.6773  2 Dy 3.34, 1 Tm 3.72
Pr: 0.3227 0.0000 0.3227  2 Dy 3.34, 1 Tm 3.72
Pr: 0.6773 0.0000 0.6773  2 Dy 3.34, 1 Tm 3.72
Dy: 0.2485 0.2485 0.0000  2 Tm 2.86-3.14
Dy: 0.3247 0.3247 0.6238  1 Tm 3.25, 3 Dy 3.26-3.54, 2 Pr 3.34
Dy: 0.3247 0.7009 0.0000  1 Tm 3.25, 3 Dy 3.26-3.54, 2 Pr 3.34
Dy: 0.7009 0.3247 0.0000  1 Tm 3.25, 3 Dy 3.26-3.54, 2 Pr 3.34
Dy: 0.7009 0.7009 0.3762  1 Tm 3.25, 3 Dy 3.26-3.54, 2 Pr 3.34
Tm: 0.7716 0.7716 0.0000  2 Dy 2.86-3.14

Computed properties:
DOS at the Fermi energy (states/eV/f.u.): 12.9
Magnetization (μB/f.u.): 0.00
Electronic total energy (eV per cell): -44.3
Relative energy among the computed polymorphs (meV per atom): 41.9

=====

2.
A plane-wave DFT calculation with PBE-GGA was carried out for a relaxed BaBe2Co crystal.

abc: 4.2676 3.7714 5.1181
angles: 90.00 90.16 90.00
With the nearest neighbours (Å) after each atom.
Fractional positions:
Ba: 0.0000 0.0000 0.0000  8 Be 3.23-3.44, 4 Co 3.34
Be: 0.2729 0.5000 0.5014  2 Co 2.08-2.19, 2 Be 2.20
Be: 0.5371 0.0000 0.4991  2 Co 2.11, 2 Be 2.20
Co: 0.7600 0.5000 0.4993  4 Be 2.08-2.19

Computed properties:
DOS at the Fermi energy (states/eV/f.u.): 2.0
Magnetization (μB/f.u.): 0.00
Electronic total energy (eV per cell): -14.9
Relative energy among the computed polymorphs (meV per atom): 258.9

=====

3.
A plane-wave DFT calculation with PBE-GGA was carried out for a relaxed NdDyPa2P4 crystal.

abc: 6.9630 4.0195 6.9670
angles: 90.00 109.45 90.00
With the nearest neighbours (Å) after each atom.
Fractional positions:
Nd: 0.0000 0.0000 0.0000  6 P 2.90
Dy: 0.5000 0.5000 0.0000  6 P 2.86-2.87
Pa: 0.0000 0.5000 0.5000  6 P 2.82
Pa: 0.5000 0.0000 0.5000  6 P 2.78-2.79
P: 0.2514 0.0000 0.7412  3 Pa 2.79-2.82, 2 Dy 2.86, 1 Nd 2.90
P: 0.2587 0.5000 0.2624  3 Pa 2.78-2.82, 1 Dy 2.87, 2 Nd 2.90
P: 0.7413 0.5000 0.7376  3 Pa 2.78-2.82, 1 Dy 2.87, 2 Nd 2.90
P: 0.7486 0.0000 0.2588  3 Pa 2.79-2.82, 2 Dy 2.86, 1 Nd 2.90

Computed properties:
DOS at the Fermi energy (states/eV/f.u.): 6.6
Magnetization (μB/f.u.): 0.00
Electronic total energy (eV per cell): -61.5

=====

4.
A plane-wave DFT calculation with PBE-GGA was carried out for a relaxed LaDy8Th2 crystal.

abc: 10.2092 10.2092 5.5624
angles: 92.13 92.13 40.33
With the nearest neighbours (Å) after each atom.
Fractional positions:
La: 0.0000 0.0000 0.0000  10 Dy 3.55-3.86
Dy: 0.1371 0.5962 0.2625  4 Dy 3.23-3.56, 2 Th 3.43-3.55, 1 La 3.55
Dy: 0.1841 0.1841 0.2343  4 Th 3.33-3.58, 4 Dy 3.46-3.55, 1 La 3.71
Dy: 0.4038 0.8629 0.7375  4 Dy 3.23-3.56, 2 Th 3.43-3.55, 1 La 3.55
Dy: 0.4526 0.4526 0.7608  2 Dy 3.16-3.48, 1 Th 3.26
Dy: 0.5474 0.5474 0.2392  2 Dy 3.16-3.48, 1 Th 3.26
Dy: 0.5962 0.1371 0.2625  4 Dy 3.23-3.56, 2 Th 3.43-3.55, 1 La 3.55
Dy: 0.8159 0.8159 0.7657  4 Th 3.33-3.58, 4 Dy 3.46-3.55, 1 La 3.71
Dy: 0.8629 0.4038 0.7375  4 Dy 3.23-3.56, 2 Th 3.43-3.55, 1 La 3.55
Th: 0.2825 0.2825 0.7409  11 Dy 3.26-3.64
Th: 0.7175 0.7175 0.2591  11 Dy 3.26-3.64

Computed properties:
DOS at the Fermi energy (states/eV/f.u.): 16.8
Magnetization (μB/f.u.): 0.00
Electronic total energy (eV per cell): -54.7

=====

5.
A plane-wave DFT calculation with PBE-GGA was carried out for a relaxed ScAlCrNi2 crystal.

abc: 4.2486 4.2486 4.9975
angles: 90.00 90.00 90.00
With the nearest neighbours (Å) after each atom.
Fractional positions:
Sc: 0.0000 0.0000 0.0000  4 Ni 2.12
Al: 0.0000 0.0000 0.5000  2 Sc 2.50
Cr: 0.5000 0.5000 0.5000  4 Al 3.00, 8 Ni 3.28
Ni: 0.0000 0.5000 0.0000  2 Sc 2.12
Ni: 0.5000 0.0000 0.0000  2 Sc 2.12

Computed properties:
DOS at the Fermi energy (states/eV/f.u.): 4.2
Magnetization (μB/f.u.): 0.11
Electronic total energy (eV per cell): -24.1

=====

| no. | formation enthalpy at 0 K (eV per atom) |
| --- | --- |
| 1 | 0.230 |
| 2 | 0.387 |
| 3 | -1.437 |
| 4 | 0.173 |
| 5 | 1.437 |